DFT (PBE) results for ScZn3Si after structural relaxation.

Structure (POSCAR):
```
ScZn3Si
1.0
4.648 0.000 0.000
0.000 4.648 0.000
0.000 0.000 4.648
Sc Zn Si
1 3 1
Cartesian
2.324 2.324 2.324 Sc
0.000 2.324 0.000 Zn
0.000 0.000 2.324 Zn
2.324 0.000 0.000 Zn
0.000 0.000 0.000 Si
```

## Properties
Polymorph energy (0 for the lowest one)   0.0 meV per atom

---

DFT (PBE) results for Sc2ZnSi after structural relaxation.

Structure (POSCAR):
```
Sc2ZnSi
1.0
3.139 0.000 0.000
0.000 3.139 0.000
0.000 0.000 7.681
Sc Si Zn
2 1 1
Cartesian
0.000 0.000 7.419 Sc
1.569 1.569 2.201 Sc
0.000 0.000 4.055 Si
1.569 1.569 5.528 Zn
```

---

DFT (PBE) results for ScZn2Si after structural relaxation.

Structure (POSCAR):
```
ScZn2Si
1.0
-0.448 3.110 2.191
-2.437 -1.928 2.240
6.090 -2.327 7.897
Sc Zn Si
2 4 2
Cartesian
0.000 0.000 0.000 Sc
2.100 0.687 6.152 Sc
0.945 1.074 3.590 Zn
-0.063 -1.351 3.682 Zn
3.448 -1.331 7.619 Zn
2.081 -0.681 9.766 Zn
-1.442 0.591 2.215 Si
1.105 -1.832 6.176 Si
```

---

DFT (PBE) results for Sc2ZnSi after structural relaxation.

Structure (POSCAR):
```
Sc2ZnSi
1.0
7.269 0.000 0.000
0.000 7.269 0.000
3.635 3.635 3.090
Sc Zn Si
4 2 2
Cartesian
5.404 1.817 0.773 Sc
1.865 5.452 0.773 Sc
5.452 5.500 2.318 Sc
9.087 9.039 2.318 Sc
0.000 0.000 0.000 Zn
7.269 3.635 1.545 Zn
3.635 3.635 0.000 Si
3.635 7.269 1.545 Si
```

---

DFT (PBE) results for ScZn2Si after structural relaxation.

Structure (POSCAR):
```
ScZn2Si
1.0
-1.990 -3.266 1.654
0.706 -1.679 -2.465
4.523 -1.557 2.369
Sc Si Zn
1 1 2
Cartesian
2.669 -1.636 -0.019 Sc
2.312 -2.772 2.558 Si
0.020 -0.010 0.004 Zn
0.851 -3.701 -1.034 Zn
```

---

DFT (PBE) results for ScZn2Si after structural relaxation.

Structure (POSCAR):
```
ScZn2Si
1.0
4.431 0.000 0.000
0.000 3.043 -0.003
0.000 0.007 5.020
Sc Si Zn
1 1 2
Cartesian
2.216 0.762 1.254 Sc
2.216 2.287 3.762 Si
0.000 2.283 0.025 Zn
0.000 2.285 2.480 Zn
```

---

DFT (PBE) results for Sc2ZnSi after structural relaxation.

Structure (POSCAR):
```
Sc2ZnSi
1.0
-2.037 6.690 4.459
-2.724 4.177 6.628
0.445 5.341 6.330
Sc Si Zn
2 1 1
Cartesian
-4.294 16.126 17.329 Sc
-2.180 8.186 8.797 Sc
-1.079 4.052 4.354 Si
-3.237 12.156 13.063 Zn
```

---

DFT (PBE) results for Sc2ZnSi after structural relaxation.

Structure (POSCAR):
```
Sc2ZnSi
1.0
-2.068 0.893 3.065
0.078 -3.637 1.112
4.660 0.974 2.860
Sc Si Zn
2 1 1
Cartesian
4.436 0.928 2.723 Sc
0.456 -1.068 2.979 Sc
2.043 0.427 1.254 Si
2.724 -0.594 4.371 Zn
```

---

DFT (PBE) results for Sc2ZnSi after structural relaxation.

Structure (POSCAR):
```
Sc2ZnSi
1.0
4.381 0.008 -0.011
3.179 3.015 -0.011
1.121 0.448 6.048
Sc Si Zn
2 1 1
Cartesian
7.516 3.005 0.061 Sc
4.384 1.753 2.931 Sc
2.170 0.868 1.507 Si
6.511 2.603 4.520 Zn
```

---

DFT (PBE) results for ScZn2Si after structural relaxation.

Structure (POSCAR):
```
ScZn2Si
1.0
5.758 -0.002 0.084
-3.124 4.837 0.084
0.761 1.397 2.570
Sc Si Zn
1 1 2
Cartesian
3.260 0.698 1.327 Sc
-1.181 3.117 1.327 Si
0.000 0.000 0.000 Zn
1.317 2.417 0.084 Zn
```

---

DFT (PBE) results for ScZn3Si after structural relaxation.

Structure (POSCAR):
```
ScZn3Si
1.0
5.112 0.000 0.000
0.000 5.112 0.000
0.000 0.000 5.112
Sc Zn Si
1 3 1
Cartesian
0.000 0.000 0.000 Sc
0.000 2.556 0.000 Zn
0.000 0.000 2.556 Zn
2.556 0.000 0.000 Zn
2.556 2.556 2.556 Si
```

## Properties
Polymorph energy (0 for the lowest one)   781.7 meV per atom

---

DFT (PBE) results for ZrScZn2Si after structural relaxation.

Structure (POSCAR):
```
ZrScZn2Si
1.0
-0.851 4.102 1.892
-0.575 -2.146 4.394
4.486 0.538 0.849
Sc Zn Si Zr
1 2 1 1
Cartesian
-0.287 -1.073 2.197 Sc
2.243 0.269 0.425 Zn
-0.425 2.051 0.946 Zn
0.000 0.000 0.000 Si
1.530 1.247 3.568 Zr
```

---

DFT (PBE) results for ZrSc4Si after structural relaxation.

Structure (POSCAR):
```
ZrSc4Si
1.0
0.000 4.063 4.063
4.063 0.000 4.063
4.063 4.063 0.000
Zr Sc Si
1 4 1
Cartesian
0.000 0.000 0.000 Zr
5.088 3.038 5.088 Sc
3.038 5.088 5.088 Sc
5.088 5.088 3.038 Sc
3.038 3.038 3.038 Sc
6.094 6.094 6.094 Si
```

---

DFT (PBE) results for Zr3ScSi after structural relaxation.

Structure (POSCAR):
```
Zr3ScSi
1.0
-4.047 -1.808 2.175
1.113 -4.508 -1.677
2.600 -0.884 4.103
Sc Si Zr
1 1 3
Cartesian
0.000 0.000 0.000 Sc
-0.167 -3.600 2.300 Si
0.556 -2.254 -0.838 Zr
1.300 -0.442 2.051 Zr
-2.023 -0.904 1.088 Zr
```

## Properties
Polymorph energy (0 for the lowest one)   1099.1 meV per atom

---

DFT (PBE) results for ZrSc3Si after structural relaxation.

Structure (POSCAR):
```
ZrSc3Si
1.0
-1.038 3.198 3.773
1.979 -3.265 3.311
4.533 2.158 -0.582
Sc Si Zr
3 1 1
Cartesian
0.990 -1.632 1.656 Sc
2.266 1.079 -0.291 Sc
-0.519 1.599 1.886 Sc
2.737 1.045 3.251 Si
0.000 0.000 0.000 Zr
```

## Properties
Polymorph energy (0 for the lowest one)   768.0 meV per atom

---

DFT (PBE) results for ZrScSi4 after structural relaxation.

Structure (POSCAR):
```
ZrScSi4
1.0
-4.600 -1.888 1.105
-3.132 2.569 3.088
-4.182 2.216 -1.884
Zr Sc Si
1 1 4
Cartesian
-8.936 2.173 1.732 Zr
0.000 0.000 0.000 Sc
-6.768 0.142 1.419 Si
-6.559 2.194 -0.076 Si
-6.034 2.371 2.411 Si
-4.467 1.086 0.866 Si
```

---

DFT (PBE) results for Zr2ScSi after structural relaxation.

Structure (POSCAR):
```
Zr2ScSi
1.0
-1.261 -1.703 -2.979
1.564 -3.111 1.116
-5.086 -1.481 3.000
Sc Si Zr
1 1 2
Cartesian
-1.120 -2.777 -0.181 Sc
-3.664 -3.517 1.319 Si
-4.966 -1.446 2.929 Zr
-2.664 -0.775 1.571 Zr
```

---

DFT (PBE) results for Zr2ScSi after structural relaxation.

Structure (POSCAR):
```
Zr2ScSi
1.0
3.567 0.000 0.000
0.000 3.567 0.000
0.000 0.000 6.407
Sc Si Zr
1 1 2
Cartesian
0.000 0.000 3.416 Sc
1.783 1.783 4.856 Si
0.000 0.000 6.206 Zr
1.783 1.783 1.539 Zr
```

---

DFT (PBE) results for Zr3ScSi after structural relaxation.

Structure (POSCAR):
```
Zr3ScSi
1.0
-0.762 -0.629 4.917
4.332 -2.503 0.351
2.410 4.301 0.924
Sc Si Zr
1 1 3
Cartesian
2.990 0.584 3.096 Sc
0.000 0.000 0.000 Si
2.166 -1.252 0.175 Zr
1.205 2.150 0.462 Zr
-0.381 -0.315 2.459 Zr
```

## Properties
Polymorph energy (0 for the lowest one)   0.0 meV per atom

---

DFT (PBE) results for Zr2ScSi after structural relaxation.

Structure (POSCAR):
```
Zr2ScSi
1.0
-0.925 4.067 -1.027
-3.667 -1.297 -1.830
-2.041 0.482 3.747
Sc Si Zr
1 1 2
Cartesian
-1.483 2.275 1.360 Sc
-2.854 -0.407 0.958 Si
0.000 0.000 0.000 Zr
-2.296 1.385 -1.429 Zr
```

---

| no. | ΔE_f (raw) (eV per atom) |
| --- | --- |
| 1 | 0.338 |
| 2 | -0.164 |
| 3 | -0.105 |
| 4 | -0.116 |
| 5 | -0.249 |
| 6 | -0.237 |
| 7 | -0.284 |
| 8 | -0.214 |
| 9 | -0.319 |
| 10 | -0.130 |
| 11 | 1.119 |
| 12 | 0.365 |
| 13 | 0.325 |
| 14 | 1.198 |
| 15 | 0.942 |
| 16 | -0.255 |
| 17 | -0.316 |
| 18 | -0.313 |
| 19 | 0.099 |
| 20 | -0.360 |